No. 1
Computed, not measured: a relaxed Ho7Bi2Pd2 crystal at the GGA-PBE level of DFT.

Lattice parameters (Å, degrees): 6.968 7.011 6.968 90.00 102.38 90.00
Fractional positions:
Ho: 0.500 0.764 0.500
Ho: 0.000 0.000 0.000
Ho: 0.500 0.247 0.000
Ho: 0.000 0.753 0.500
Ho: 0.500 0.236 0.500
Ho: 0.000 0.247 0.500
Ho: 0.500 0.753 0.000
Bi: 0.195 0.500 0.195
Bi: 0.805 0.500 0.805
Pd: 0.720 0.000 0.280
Pd: 0.280 0.000 0.720

Values from the calculation:
formation energy from the elements = -0.433 eV per atom
E_tot = -4.9958 eV/atom

No. 2
Computed, not measured: a relaxed MgAl2Te crystal at the GGA-PBE level of DFT.

Lattice parameters (Å, degrees): 3.849 3.849 6.070 90.00 90.00 90.00
Fractional positions:
Al: 0.000 0.000 0.053
Al: 0.500 0.500 0.219
Te: 0.500 0.500 0.704
Mg: 0.000 0.000 0.524

Values from the calculation:
E_tot = -3.0461 eV/atom
formation energy (no corrections) = 0.01 eV per atom

No. 3
Computed, not measured: a relaxed La2Pr2Er7 crystal at the GGA-PBE level of DFT.

Lattice parameters (Å, degrees): 6.105 8.159 8.159 91.25 73.47 73.47
Fractional positions:
La: 0.500 0.208 0.792
La: 0.500 0.792 0.208
Er: 0.000 0.000 0.000
Er: 0.827 0.409 0.935
Er: 0.827 0.935 0.409
Er: 0.576 0.763 0.763
Er: 0.173 0.591 0.065
Er: 0.424 0.237 0.237
Er: 0.173 0.065 0.591
Pr: 0.185 0.601 0.601
Pr: 0.815 0.399 0.399

Values from the calculation:
formation energy from the elements = 0.154 eV per atom
E_tot = -4.5142 eV/atom

No. 4
Computed, not measured: a relaxed Hf5Tc4Ru crystal at the GGA-PBE level of DFT.

Lattice parameters (Å, degrees): 3.258 3.258 16.295 90.00 90.00 90.00
Fractional positions:
Hf: 0.500 0.500 0.100
Hf: 0.500 0.500 0.701
Hf: 0.500 0.500 0.900
Hf: 0.500 0.500 0.500
Hf: 0.500 0.500 0.299
Tc: 0.000 0.000 0.199
Tc: 0.000 0.000 0.801
Tc: 0.000 0.000 0.600
Tc: 0.000 0.000 0.400
Ru: 0.000 0.000 0.000

Values from the calculation:
formation energy from the elements = -0.550 eV per atom
E_tot = -10.6012 eV/atom

no.,N(E_F) (states/eV/f.u.)
1,11.10
2,1.38
3,18.32
4,8.49